VASP calculation (PBE) on crystalline Na2TmNpSe4 at its relaxed geometry.

Unit cell a=7.210 b=4.150 c=7.390 alpha=90.00 beta=109.10 gamma=90.00
Space group P2/m (No. 10)
One atom of each set of equivalent atoms:
Na1 0.000 0.000 0.000 x1
Na2 0.500 0.500 0.000 x1
Tm1 0.000 0.500 0.500 x1
Np1 0.500 0.000 0.500 x1
Se1 0.237 0.000 0.729 x2
Se2 0.250 0.500 0.270 x2

Output
Energy relative to the elements, uncorrected in eV/atom: -1.434
Calculated volume in Å³/f.u.: 209
Calculated density in g/cm3: 6.10